--- i ---
# CsNi2I (PBE, relaxed)
data_CsNi2I
_chemical_formula_sum 'Cs1 Ni2 I1'
_cell_length_a 5.040
_cell_length_b 5.040
_cell_length_c 5.040
_cell_angle_alpha 60.00
_cell_angle_beta 60.00
_cell_angle_gamma 60.00
_symmetry_space_group_name_H-M 'P 1'
_symmetry_Int_Tables_number 1
_symmetry_space_group_name_Hall 'P 1'
loop_
_atom_site_label
_atom_site_type_symbol
_atom_site_fract_x
_atom_site_fract_y
_atom_site_fract_z
_atom_site_occupancy
Cs1 Cs 0.000 0.000 0.000 1
Ni1 Ni 0.250 0.250 0.250 1
Ni2 Ni 0.750 0.750 0.750 1
I1 I 0.500 0.500 0.500 1
# - SG: Fm-3m (225)
# - DOS at the Fermi energy: 2.529 states/eV/cell
# - Theoretical density: 6.92 g/cm³
# - Magnetization: 0.00 μB per atom
# - Crystal system: cubic

---

--- ii ---
# CsNi2I (PBE, relaxed)
data_CsNi2I
_chemical_formula_sum 'Cs2 Ni4 I2'
_cell_length_a 8.876
_cell_length_b 8.876
_cell_length_c 8.876
_cell_angle_alpha 144.07
_cell_angle_beta 144.07
_cell_angle_gamma 51.72
_symmetry_space_group_name_H-M 'P 1'
_symmetry_Int_Tables_number 1
_symmetry_space_group_name_Hall 'P 1'
loop_
_atom_site_label
_atom_site_type_symbol
_atom_site_fract_x
_atom_site_fract_y
_atom_site_fract_z
_atom_site_occupancy
Cs1 Cs 0.375 0.625 0.750 1
Cs2 Cs 0.625 0.375 0.250 1
Ni1 Ni 0.000 0.000 0.000 1
Ni2 Ni 0.000 0.000 0.500 1
Ni3 Ni 0.000 0.500 0.000 1
Ni4 Ni 0.500 0.000 0.500 1
I1 I 0.125 0.875 0.250 1
I2 I 0.875 0.125 0.750 1
# - SG: I4_1/amd (141)
# - DOS at the Fermi energy: 1.028 states/eV/cell
# - Theoretical density: 5.23 g/cm³
# - Magnetization: 0.00 μB per atom
# - Crystal system: tetragonal

---

Each structure's energy above the most stable one, in eV/atom: i 0.680; ii 0.000.

---

--- i ---
# CsNiI2 (PBE, relaxed)
data_CsNiI2
_chemical_formula_sum 'Cs1 Ni1 I2'
_cell_length_a 5.939
_cell_length_b 5.939
_cell_length_c 5.939
_cell_angle_alpha 60.00
_cell_angle_beta 60.00
_cell_angle_gamma 60.00
_symmetry_space_group_name_H-M 'P 1'
_symmetry_Int_Tables_number 1
_symmetry_space_group_name_Hall 'P 1'
loop_
_atom_site_label
_atom_site_type_symbol
_atom_site_fract_x
_atom_site_fract_y
_atom_site_fract_z
_atom_site_occupancy
Cs1 Cs 0.000 0.000 0.000 1
Ni1 Ni 0.500 0.500 0.500 1
I1 I 0.250 0.250 0.250 1
I2 I 0.750 0.750 0.750 1
# - SG: Fm-3m (225)
# - DOS at the Fermi energy: 12.507 states/eV/cell
# - Theoretical density: 4.99 g/cm³
# - Magnetization: 0.25 μB per atom
# - Crystal system: cubic

---

--- ii ---
# CsNiI2 (PBE, relaxed)
data_CsNiI2
_chemical_formula_sum 'Cs1 Ni1 I2'
_cell_length_a 10.383
_cell_length_b 10.383
_cell_length_c 10.383
_cell_angle_alpha 23.79
_cell_angle_beta 23.79
_cell_angle_gamma 23.79
_symmetry_space_group_name_H-M 'P 1'
_symmetry_Int_Tables_number 1
_symmetry_space_group_name_Hall 'P 1'
loop_
_atom_site_label
_atom_site_type_symbol
_atom_site_fract_x
_atom_site_fract_y
_atom_site_fract_z
_atom_site_occupancy
Cs1 Cs 0.000 0.000 0.000 1
Ni1 Ni 0.500 0.500 0.500 1
I1 I 0.119 0.119 0.119 1
I2 I 0.881 0.881 0.881 1
# - SG: R-3m (166)
# - DOS at the Fermi energy: 4.567 states/eV/cell
# - Theoretical density: 4.62 g/cm³
# - Magnetization: 0.30 μB per atom
# - Crystal system: trigonal

---

Each structure's energy above the most stable one, in eV/atom: i 0.220; ii 0.000.